[1]
This record from Alexandria via LeMat-Bulk describes an optimized crystal structure of Na2GeH6Ru. The functional is PBE.

Results
**SG**: C2/m, No. 12
**DFT total energy**: -3.701 eV/atom

Lattice parameters (Å, degrees): 5.192 5.192 5.184 59.98 59.98 90.02
Fractional coordinates of all 10 atoms:
Na: 0.750 0.250 0.500
Na: 0.250 0.750 0.500
Ge: 0.500 0.500 0.000
H: 0.236 0.236 0.525
H: 0.764 0.764 0.997
H: 0.237 0.763 0.000
H: 0.763 0.237 0.000
H: 0.236 0.236 0.003
H: 0.764 0.764 0.475
Ru: 0.000 0.000 0.000



[2]
This record from Alexandria via LeMat-Bulk describes an optimized crystal structure of In2Sb2PdPt7. The functional is PBE.

Results
**Uncorrected formation energy**: -242.5 kJ/mol of formula units
**SG**: C2/m, No. 12

Lattice parameters (Å, degrees): 3.902 3.902 15.857 80.62 80.62 89.62
Fractional coordinates of all 12 atoms:
In: 0.672 0.672 0.742
In: 0.328 0.328 0.258
Sb: 0.745 0.745 0.397
Sb: 0.255 0.255 0.603
Pd: 0.000 0.000 0.000
Pt: 0.500 0.500 0.000
Pt: 0.235 0.235 0.437
Pt: 0.765 0.765 0.563
Pt: 0.913 0.413 0.133
Pt: 0.413 0.913 0.133
Pt: 0.587 0.087 0.867
Pt: 0.087 0.587 0.867



[3]
This record from Alexandria via LeMat-Bulk describes an optimized crystal structure of GaNiAgPd. The functional is PBE.

Results
**SG**: F-43m, No. 216
**Energy of formation**: -16.9 kJ/mol of atoms

Lattice parameters (Å, degrees): 4.366 4.366 4.366 60.00 60.00 60.00
Fractional coordinates of all 4 atoms:
Ni: 0.250 0.250 0.250
Ga: 0.500 0.500 0.500
Pd: 0.750 0.750 0.750
Ag: 0.000 0.000 0.000



[4]
This record from Alexandria via LeMat-Bulk describes an optimized crystal structure of GeBiPd. The functional is PBE.

Results
**SG**: P3m1, No. 156
**Energy of formation**: -10.7 kJ/mol of atoms

Lattice parameters (Å, degrees): 3.983 4.374 4.374 120.00 90.00 90.00
Fractional coordinates of all 3 atoms:
Ge: 0.167 0.333 0.667
Bi: 0.670 0.667 0.333
Pd: 0.163 0.000 0.000



[5]
This record from Alexandria via LeMat-Bulk describes an optimized crystal structure of BaTl2Co. The functional is PBE.

Results
**SG**: Amm2, No. 38
**Energy of formation**: 24.7 kJ/mol of atoms

Lattice parameters (Å, degrees): 4.801 4.133 6.625 71.79 90.00 90.00
Last column: magnetic moment on the atom in μB.
Fractional coordinates of all 4 atoms:
Ba: 0.000 0.546 0.534  -0.01
Co: 0.500 0.894 0.838  1.45
Tl: 0.000 0.822 0.979  0.00
Tl: 0.500 0.237 0.150  0.00



[6]
This record from Alexandria via LeMat-Bulk describes an optimized crystal structure of Ti2GaTc2. The functional is PBE.

Results
**SG**: Cmmm, No. 65
**Energy of formation**: -15.0 kJ/mol of atoms

Lattice parameters (Å, degrees): 2.876 3.982 7.200 73.95 90.00 90.00
Fractional coordinates of all 5 atoms:
Ti: 0.500 0.390 0.219
Ti: 0.500 0.610 0.781
Ga: 0.000 0.000 0.000
Tc: 0.000 0.199 0.603
Tc: 0.000 0.801 0.397



[7]
This record from Alexandria via LeMat-Bulk describes an optimized crystal structure of Na3Mg. The functional is PBE.

Results
**SG**: Imm2, No. 44
**Energy of formation**: 7.6 kJ/mol of atoms

Lattice parameters (Å, degrees): 6.906 6.906 6.906 151.24 125.57 62.72
Fractional coordinates of all 4 atoms:
Mg: 0.321 0.000 0.321
Na: 0.267 0.258 0.008
Na: 0.750 0.742 0.008
Na: 0.829 0.500 0.329



[8]
This record from Alexandria via LeMat-Bulk describes an optimized crystal structure of Ce6NdS12. The functional is PBE.

Results
**Uncorrected formation energy**: -3504.4 kJ/mol of formula units
**SG**: R-3, No. 148

Lattice parameters (Å, degrees): 8.084 8.084 8.084 99.95 99.95 99.95
Last column: magnetic moment on the atom in μB.
Fractional coordinates of all 19 atoms:
Ce: 0.137 0.304 0.617  0.56
Ce: 0.696 0.383 0.863  0.56
Ce: 0.383 0.863 0.696  0.56
Ce: 0.863 0.696 0.383  0.56
Ce: 0.304 0.617 0.137  0.56
Ce: 0.617 0.137 0.304  0.56
Nd: 0.000 0.000 0.000  0.00
S: 0.432 0.177 0.579  -0.03
S: 0.177 0.579 0.432  -0.03
S: 0.579 0.432 0.177  -0.03
S: 0.568 0.823 0.421  -0.03
S: 0.823 0.421 0.568  -0.03
S: 0.421 0.568 0.823  -0.03
S: 0.062 0.935 0.670  -0.02
S: 0.330 0.938 0.065  -0.02
S: 0.065 0.330 0.938  -0.02
S: 0.938 0.065 0.330  -0.02
S: 0.670 0.062 0.935  -0.02
S: 0.935 0.670 0.062  -0.02



[9]
This record from Alexandria via LeMat-Bulk describes an optimized crystal structure of La2MgBPt. The functional is PBE.

Results
**SG**: P4/mmm, No. 123
**Energy of formation**: 94.9 kJ/mol of atoms

Lattice parameters (Å, degrees): 5.715 4.526 5.715 90.00 90.00 90.00
Last column: magnetic moment on the atom in μB.
Fractional coordinates of all 5 atoms:
Mg: 0.000 0.000 0.000  0.01
B: 0.500 0.500 0.500  0.01
Pt: 0.000 0.500 0.000  0.02
La: 0.000 0.000 0.500  0.09
La: 0.500 0.000 0.000  0.10



[10]
This record from Alexandria via LeMat-Bulk describes an optimized crystal structure of KCd2CoCl8. The functional is PBE.

Results
**Uncorrected formation energy**: -1162.9 kJ/mol of formula units
**SG**: C2/m, No. 12

Lattice parameters (Å, degrees): 6.257 6.258 9.062 87.60 87.60 67.76
Last column: magnetic moment on the atom in μB.
Fractional coordinates of all 12 atoms:
K: 0.000 0.000 0.500  0.00
Cd: 0.354 0.354 0.807  0.00
Cd: 0.646 0.646 0.193  0.00
Co: 0.000 0.000 0.000  0.10
Cl: 0.200 0.744 0.178  0.00
Cl: 0.787 0.787 0.961  0.01
Cl: 0.744 0.200 0.178  0.00
Cl: 0.800 0.256 0.822  0.00
Cl: 0.213 0.213 0.039  0.01
Cl: 0.256 0.800 0.822  0.00
Cl: 0.691 0.691 0.451  0.00
Cl: 0.309 0.309 0.549  0.00



[11]
This record from Alexandria via LeMat-Bulk describes an optimized crystal structure of Rb2MoRuBr6. The functional is PBE.

Results
**Uncorrected formation energy**: -635.4 kJ/mol of formula units
**SG**: Fm-3m, No. 225

Lattice parameters (Å, degrees): 7.577 7.577 7.577 60.00 60.00 90.00
Last column: magnetic moment on the atom in μB.
Fractional coordinates of all 10 atoms:
Ru: 0.000 0.000 0.000  2.29
Mo: 0.500 0.500 0.000  2.71
Br: 0.252 0.252 0.495  0.06
Br: 0.748 0.748 0.505  0.06
Br: 0.253 0.253 0.000  0.06
Br: 0.747 0.747 0.000  0.06
Br: 0.747 0.253 0.000  0.06
Br: 0.253 0.747 0.000  0.06
Rb: 0.750 0.250 0.500  0.00
Rb: 0.250 0.750 0.500  0.00



[12]
This record from Alexandria via LeMat-Bulk describes an optimized crystal structure of Rb2PmI4. The functional is PBE.

Results
**Uncorrected formation energy**: -879.3 kJ/mol of formula units
**SG**: I4/mmm, No. 139

Lattice parameters (Å, degrees): 6.168 6.168 10.313 107.40 107.40 90.00
Last column: magnetic moment on the atom in μB.
Fractional coordinates of all 7 atoms:
I: 0.830 0.830 0.661  0.01
I: 0.170 0.170 0.339  0.01
I: 0.000 0.500 0.000  0.00
I: 0.500 0.000 0.000  0.00
Rb: 0.636 0.636 0.272  0.00
Rb: 0.364 0.364 0.728  0.00
Pm: 0.000 0.000 0.000  0.27



[13]
This record from Alexandria via LeMat-Bulk describes an optimized crystal structure of SrCuOs2. The functional is PBE.

Results
**SG**: Pm, No. 6
**Energy of formation**: 49.1 kJ/mol of atoms

Lattice parameters (Å, degrees): 4.118 2.834 6.608 77.51 90.00 90.00
Fractional coordinates of all 4 atoms:
Cu: 0.500 0.911 0.799
Os: 0.000 0.798 0.028
Os: 0.500 0.237 0.154
Sr: 0.000 0.554 0.519



[14]
This record from Alexandria via LeMat-Bulk describes an optimized crystal structure of Tm2LuTa. The functional is PBE.

Results
**SG**: R-3m, No. 166
**Energy of formation**: 54.0 kJ/mol of atoms

Lattice parameters (Å, degrees): 3.224 3.224 11.630 82.03 82.03 60.00
Fractional coordinates of all 4 atoms:
Lu: 0.500 0.500 0.500
Tm: 0.085 0.085 0.745
Tm: 0.915 0.915 0.255
Ta: 0.000 0.000 0.000



[15]
This record from Alexandria via LeMat-Bulk describes an optimized crystal structure of Na3Ge5Te12. The functional is PBE.

Results
**Uncorrected formation energy**: -222.5 kJ/mol of formula units
**SG**: Ia-3d, No. 230

Lattice parameters (Å, degrees): 15.017 15.017 15.017 109.47 109.47 109.47
Fractional coordinates of all 80 atoms:
Na: 0.750 0.375 0.125
Na: 0.875 0.750 0.125
Na: 0.375 0.750 0.625
Na: 0.250 0.125 0.375
Na: 0.875 0.125 0.250
Na: 0.375 0.625 0.250
Na: 0.625 0.375 0.750
Na: 0.125 0.875 0.750
Na: 0.750 0.875 0.625
Na: 0.625 0.250 0.375
Na: 0.125 0.250 0.875
Na: 0.250 0.625 0.875
Ge: 0.125 0.375 0.250
Ge: 0.000 0.500 0.000
Ge: 0.000 0.000 0.000
Ge: 0.375 0.250 0.125
Ge: 0.500 0.000 0.500
Ge: 0.500 0.500 0.000
Ge: 0.125 0.750 0.375
Ge: 0.750 0.125 0.875
Ge: 0.750 0.625 0.375
Ge: 0.375 0.125 0.750
Ge: 0.625 0.875 0.250
Ge: 0.500 0.500 0.500
Ge: 0.500 0.000 0.000
Ge: 0.000 0.000 0.500
Ge: 0.250 0.375 0.625
Ge: 0.250 0.875 0.125
Ge: 0.000 0.500 0.500
Ge: 0.875 0.250 0.625
Ge: 0.625 0.750 0.875
Ge: 0.875 0.625 0.750
Te: 0.715 0.125 0.037
Te: 0.323 0.537 0.413
Te: 0.963 0.375 0.285
Te: 0.537 0.215 0.125
Te: 0.590 0.715 0.677
Te: 0.963 0.587 0.177
Te: 0.323 0.785 0.410
Te: 0.087 0.910 0.125
Te: 0.587 0.963 0.677
Te: 0.715 0.590 0.177
Te: 0.785 0.463 0.375
Te: 0.823 0.913 0.037
Te: 0.125 0.715 0.537
Te: 0.375 0.413 0.090
Te: 0.090 0.913 0.375
Te: 0.410 0.125 0.587
Te: 0.090 0.177 0.215
Te: 0.463 0.677 0.087
Te: 0.823 0.910 0.285
Te: 0.125 0.410 0.087
Te: 0.375 0.963 0.785
Te: 0.587 0.625 0.410
Te: 0.913 0.823 0.537
Te: 0.785 0.323 0.910
Te: 0.413 0.375 0.590
Te: 0.087 0.177 0.463
Te: 0.215 0.677 0.090
Te: 0.177 0.090 0.715
Te: 0.625 0.037 0.215
Te: 0.875 0.590 0.913
Te: 0.537 0.323 0.913
Te: 0.590 0.875 0.413
Te: 0.910 0.823 0.785
Te: 0.910 0.087 0.625
Te: 0.875 0.285 0.463
Te: 0.177 0.087 0.963
Te: 0.625 0.587 0.910
Te: 0.413 0.037 0.323
Te: 0.285 0.410 0.823
Te: 0.215 0.537 0.625
Te: 0.913 0.090 0.875
Te: 0.677 0.215 0.590
Te: 0.463 0.785 0.875
Te: 0.037 0.413 0.823
Te: 0.410 0.285 0.323
Te: 0.037 0.625 0.715
Te: 0.677 0.463 0.587
Te: 0.285 0.875 0.963



[16]
This record from Alexandria via LeMat-Bulk describes an optimized crystal structure of Tb2MnRe3. The functional is PBE.

Results
**SG**: R-3m, No. 166
**Energy of formation**: -13.3 kJ/mol of atoms

Lattice parameters (Å, degrees): 5.308 5.308 5.507 90.04 118.77 120.00
Last column: magnetic moment on the atom in μB.
Fractional coordinates of all 6 atoms:
Tb: 0.248 0.624 0.871  -0.12
Tb: 0.752 0.376 0.129  -0.12
Mn: 0.000 0.000 0.000  2.86
Re: 0.500 0.500 0.500  -0.01
Re: 0.000 0.000 0.500  -0.01
Re: 0.500 0.000 0.500  -0.03



[17]
This record from Alexandria via LeMat-Bulk describes an optimized crystal structure of Na4Hf3TiS8. The functional is PBE.

Results
**Uncorrected formation energy**: -2227.4 kJ/mol of formula units
**SG**: R-3m, No. 166

Lattice parameters (Å, degrees): 7.271 7.987 7.272 117.10 120.00 90.00
Last column: magnetic moment on the atom in μB.
Fractional coordinates of all 16 atoms:
Na: 0.500 0.000 0.000  0.00
Na: 0.500 0.000 0.500  0.00
Na: 0.000 0.000 0.000  0.00
Na: 0.000 0.000 0.500  0.00
Hf: 0.500 0.500 0.000  -0.01
Hf: 0.500 0.500 0.500  -0.01
Hf: 0.000 0.500 0.500  -0.01
Ti: 0.000 0.500 0.000  0.94
S: 0.238 0.719 0.981  0.00
S: 0.238 0.719 0.476  0.00
S: 0.259 0.278 0.518  0.00
S: 0.743 0.719 0.981  0.00
S: 0.257 0.281 0.019  0.00
S: 0.741 0.722 0.482  0.00
S: 0.762 0.281 0.524  0.00
S: 0.762 0.281 0.019  0.00



[18]
This record from Alexandria via LeMat-Bulk describes an optimized crystal structure of AlHgH2Rh. The functional is PBE.

Results
**SG**: P4/mmm, No. 123
**DFT total energy**: -3.325 eV/atom

Lattice parameters (Å, degrees): 3.731 5.082 3.731 90.00 90.00 90.00
Fractional coordinates of all 5 atoms:
H: 0.000 0.000 0.500
H: 0.500 0.000 0.000
Rh: 0.000 0.500 0.000
Hg: 0.500 0.500 0.500
Al: 0.000 0.000 0.000



[19]
This record from Alexandria via LeMat-Bulk describes an optimized crystal structure of La2Ge4Pd3Ru. The functional is PBE.

Results
**SG**: P-4m2, No. 115
**Energy of formation**: -77.5 kJ/mol of atoms

Lattice parameters (Å, degrees): 4.315 4.315 10.467 90.00 90.00 90.00
Fractional coordinates of all 10 atoms:
La: 0.500 0.000 0.244
La: 0.000 0.500 0.756
Ge: 0.500 0.500 0.000
Ge: 0.000 0.000 0.000
Ge: 0.500 0.000 0.626
Ge: 0.000 0.500 0.374
Pd: 0.000 0.000 0.500
Pd: 0.500 0.000 0.867
Pd: 0.000 0.500 0.133
Ru: 0.500 0.500 0.500



[20]
This record from Alexandria via LeMat-Bulk describes an optimized crystal structure of Dy2HoErSc2. The functional is PBE.

Results
**SG**: Pnnm, No. 58
**Energy of formation**: 6.8 kJ/mol of atoms

Lattice parameters (Å, degrees): 5.420 9.346 6.841 90.00 90.00 90.00
Fractional coordinates of all 12 atoms:
Dy: 0.500 0.833 0.249
Dy: 0.500 0.167 0.751
Dy: 0.000 0.667 0.749
Dy: 0.000 0.333 0.251
Ho: 0.500 0.500 0.000
Ho: 0.000 0.000 0.500
Er: 0.000 0.000 0.000
Er: 0.500 0.500 0.500
Sc: 0.500 0.167 0.250
Sc: 0.000 0.667 0.250
Sc: 0.500 0.833 0.750
Sc: 0.000 0.333 0.750